Record 1
The following is a DFT calculation (PBE) of Na2NbCr after structural relaxation.

Geometry as POSCAR:
```
Na2NbCr
1.0
0.000 3.589 3.589
3.589 0.000 3.589
3.589 3.589 0.000
Na Nb Cr
2 1 1
Cartesian
1.794 1.794 1.794 Na
5.383 5.383 5.383 Na
0.000 0.000 0.000 Nb
3.589 3.589 3.589 Cr
```

Formation enthalpy at 0 K = 1.326 eV/atom
Energy = -4.257 eV/atom

Record 2
The following is a DFT calculation (PBE) of NaNb2CrNi after structural relaxation.

Geometry as POSCAR:
```
NaNb2CrNi
1.0
4.570 0.000 0.000
0.000 4.570 0.000
0.000 0.000 4.621
Na Nb Cr Ni
1 2 1 1
Cartesian
0.000 0.000 0.000 Na
0.000 2.285 2.310 Nb
2.285 0.000 2.310 Nb
2.285 2.285 2.310 Cr
2.285 2.285 0.000 Ni
```

Formation enthalpy at 0 K = 0.954 eV/atom
Energy = -6.418 eV/atom